[1]
Computed, not measured: a relaxed LaScTl crystal at the PBE level of DFT.

POSCAR file:
```
LaScTl
1.0
3.5343 0.0000 0.0000
-1.7672 3.0608 0.0000
0.0000 0.0000 8.1291
La Sc Tl
1 1 1
direct
0.0000 0.0000 0.0005 La
0.6667 0.3333 0.3501 Sc
0.3333 0.6667 0.6494 Tl
```

Properties
Energy above the most stable polymorph in this dataset in eV/atom: 0.2278
Crystal system: trigonal
SG: P3m1, No. 156
ΔE_f in eV per atom: -0.062



[2]
Computed, not measured: a relaxed MnAgCl2 crystal at the PBE level of DFT.

POSCAR file:
```
MnAgCl2
1.0
3.5554 0.0000 0.0000
0.0000 6.0420 0.0000
0.0000 0.0000 3.9018
Mn Ag Cl
1 1 2
direct
0.5000 0.0000 0.5000 Mn
0.0000 0.5000 0.5000 Ag
0.0000 0.0000 0.0000 Cl
0.5000 0.5000 0.0000 Cl
```

Properties
Energy above the most stable polymorph in this dataset in eV/atom: 0.3510
Energy relative to the elements, uncorrected in meV per atom: -127
Crystal system: orthorhombic
SG: Pmmm, No. 47